Record 1
# GGA-PBE Rb2In5Hg3, optimized geometry
# * total magnetization: 0.000 μB per atom
# * formation enthalpy at 0 K: -126 kJ/mol of formula units
# * E_tot: -1.78 eV/atom
data_Rb2In5Hg3
_symmetry_space_group_name_H-M 'P -4 m 2'
_symmetry_Int_Tables_number 115
_cell_length_a 5.116
_cell_length_b 5.116
_cell_length_c 12.444
_cell_angle_alpha 90.00
_cell_angle_beta 90.00
_cell_angle_gamma 90.00
loop_
_symmetry_equiv_pos_as_xyz
'x,y,z'
'y,-x,-z'
'-x,-y,z'
'-y,x,-z'
'-x,y,z'
'-y,-x,-z'
'x,-y,z'
'y,x,-z'
loop_
_atom_site_label
_atom_site_type_symbol
_atom_site_fract_x
_atom_site_fract_y
_atom_site_fract_z
Rb1 Rb 0.000 0.500 0.245
In1 In 0.000 0.000 0.500
In2 In 0.000 0.500 0.634
In3 In 0.500 0.500 0.000
In4 In 0.500 0.500 0.500
Hg1 Hg 0.000 0.000 0.000
Hg2 Hg 0.000 0.500 0.868



Record 2
# GGA-PBE TbMn6Al6, optimized geometry
# * total magnetization: 0.550 μB per atom
# * formation enthalpy at 0 K: -296 kJ/mol of formula units
# * E_tot: -6.55 eV/atom
data_TbMn6Al6
_symmetry_space_group_name_H-M 'I m m m'
_symmetry_Int_Tables_number 71
_symmetry_space_group_name_Hall '-I 2 2'
_cell_length_a 4.922
_cell_length_b 8.613
_cell_length_c 8.812
_cell_angle_alpha 90.00
_cell_angle_beta 90.00
_cell_angle_gamma 90.00
loop_
_atom_site_label
_atom_site_type_symbol
_atom_site_fract_x
_atom_site_fract_y
_atom_site_fract_z
Tb1 Tb 0.000 0.000 0.000
Mn1 Mn 0.000 0.264 0.500
Mn2 Mn 0.250 0.250 0.250
Al1 Al 0.000 0.000 0.347
Al2 Al 0.000 0.339 0.000
Al3 Al 0.000 0.500 0.302



Record 3
# GGA-PBE KCuTc2, optimized geometry
# * total magnetization: 1.181 μB per atom
# * formation enthalpy at 0 K: 686 kJ/mol of formula units
# * E_tot: -4.70 eV/atom
data_KCuTc2
_symmetry_space_group_name_H-M 'F m -3 m'
_symmetry_Int_Tables_number 225
_symmetry_space_group_name_Hall '-F 4 2 3'
_cell_length_a 6.554
_cell_length_b 6.554
_cell_length_c 6.554
_cell_angle_alpha 90.00
_cell_angle_beta 90.00
_cell_angle_gamma 90.00
loop_
_atom_site_label
_atom_site_type_symbol
_atom_site_fract_x
_atom_site_fract_y
_atom_site_fract_z
K1 K 0.000 0.000 0.000
Cu1 Cu 0.000 0.000 0.500
Tc1 Tc 0.250 0.250 0.250



Record 4
# GGA-PBE Pr4MgS5, optimized geometry
# * formation energy from raw total energies: -1.840 eV per atom
# * total magnetization: 0.000 μB per atom
# * E_tot: -5.98 eV/atom
data_Pr4MgS5
_symmetry_space_group_name_H-M 'I 4'
_symmetry_Int_Tables_number 79
_cell_length_a 9.020
_cell_length_b 9.020
_cell_length_c 5.760
_cell_angle_alpha 90.00
_cell_angle_beta 90.00
_cell_angle_gamma 90.00
loop_
_symmetry_equiv_pos_as_xyz
'x,y,z'
'-y,x,z'
'-x,-y,z'
'y,-x,z'
'x+1/2,y+1/2,z+1/2'
'-y+1/2,x+1/2,z+1/2'
'-x+1/2,-y+1/2,z+1/2'
'y+1/2,-x+1/2,z+1/2'
loop_
_atom_site_label
_atom_site_type_symbol
_atom_site_fract_x
_atom_site_fract_y
_atom_site_fract_z
Pr1 Pr 0.095 0.304 0.000
Mg1 Mg 0.000 0.000 0.479
S1 S 0.000 0.000 0.008
S2 S 0.095 0.276 0.500